The following is a DFT calculation (GGA-PBE) of a relaxed structure of InCo2Au.

Cell lengths 3.008, 3.007, 6.800 Å; angles 90.00, 90.00, 90.00 degrees
Site moments in Bohr magnetons follow the coordinates.
Sites, in units of the cell vectors:
Co  0.000  0.000  0.039  1.79
Au  0.500  0.500  0.783  0.00
In  0.000  0.000  0.470  -0.01
Co  0.500  0.500  0.208  1.58

Calculated values
final energy	-19.69	eV per cell
symmetry	P4mm
ΔE_f	0.13	eV/atom